Pr11Tm9Th4, relaxed, DFT PBE; ΔE_f = 0.12 eV per atom; SG = No. 65
1.0
8.5140 -12.8982 0.0000
8.5140 12.8982 0.0000
0.0000 0.0000 3.7134
Pr Tm Th
11 9 4
Direct
0.0000 0.0000 0.0000 Pr
0.0449 0.4071 0.0000 Pr
0.1593 0.8407 0.0000 Pr
0.2904 0.2904 0.0000 Pr
0.3674 0.6326 0.0000 Pr
0.4071 0.0449 0.0000 Pr
0.5929 0.9551 0.0000 Pr
0.6326 0.3674 0.0000 Pr
0.7096 0.7096 0.0000 Pr
0.8407 0.1593 0.0000 Pr
0.9551 0.5929 0.0000 Pr
0.0652 0.2112 0.5000 Tm
0.1639 0.6337 0.5000 Tm
0.2112 0.0652 0.5000 Tm
0.3663 0.8361 0.5000 Tm
0.5000 0.5000 0.5000 Tm
0.6337 0.1639 0.5000 Tm
0.7888 0.9348 0.5000 Tm
0.8361 0.3663 0.5000 Tm
0.9348 0.7888 0.5000 Tm
0.2417 0.4446 0.5000 Th
0.4446 0.2417 0.5000 Th
0.5554 0.7583 0.5000 Th
0.7583 0.5554 0.5000 Th

RbNpTeSe3, relaxed, DFT PBE; SG = No. 11; uncorrected formation energy = -807 meV per atom
1.0
9.2866 0.0000 0.0000
0.0000 4.2000 0.0000
-3.9075 0.0000 9.9440
Rb Np Te Se
2 2 2 6
Direct
0.2486 0.2500 0.2042 Rb
0.7514 0.7500 0.7958 Rb
0.1674 0.7500 0.6755 Np
0.8326 0.2500 0.3245 Np
0.4129 0.2500 0.8460 Te
0.5871 0.7500 0.1540 Te
0.0537 0.7500 0.3790 Se
0.1517 0.7500 0.9188 Se
0.3491 0.2500 0.5923 Se
0.6509 0.7500 0.4077 Se
0.8483 0.2500 0.0812 Se
0.9463 0.2500 0.6210 Se

La4MnIn, relaxed, DFT PBE; ΔE_f = -0.09 eV per atom; SG = No. 15; ΔE to the lowest computed polymorph = 0.000 eV per atom
1.0
4.6572 -6.5828 0.0000
4.6572 6.5828 0.0000
-1.9694 0.0000 5.9225
La Mn In
8 2 2
Direct
0.0433 0.7367 0.9495 La
0.2009 0.3825 0.6241 La
0.2633 0.9567 0.5505 La
0.3825 0.2009 0.1241 La
0.6175 0.7991 0.8759 La
0.7367 0.0433 0.4495 La
0.7991 0.6175 0.3759 La
0.9567 0.2633 0.0505 La
0.0044 0.9956 0.2500 Mn
0.9956 0.0044 0.7500 Mn
0.3771 0.6229 0.2500 In
0.6229 0.3771 0.7500 In

LiMn2Co, relaxed, DFT PBE; ΔE_f = 0.18 eV per atom; SG = No. 47; ΔE to the lowest computed polymorph = 0.004 eV per atom
1.0
3.2284 0.0000 0.0000
0.0000 3.7346 0.0000
0.0000 0.0000 3.8480
Li Mn Co
1 2 1
Direct
0.0000 0.0000 0.0000 Li
0.0000 0.5000 0.5000 Mn
0.5000 0.0000 0.5000 Mn
0.5000 0.5000 0.0000 Co

RbAl3P6O20, relaxed, DFT PBE; SG = No. 20; uncorrected formation energy = -2466 meV per atom
1.0
5.0171 -6.5622 0.0000
5.0171 6.5622 0.0000
0.0000 0.0000 12.0893
Rb Al P O
2 6 12 40
Direct
0.0223 0.0223 0.0000 Rb
0.9777 0.9777 0.5000 Rb
0.2081 0.7919 0.7500 Al
0.2557 0.7443 0.2500 Al
0.3672 0.3672 0.5000 Al
0.6328 0.6328 0.0000 Al
0.7443 0.2557 0.7500 Al
0.7919 0.2081 0.2500 Al
0.1322 0.4067 0.8173 P
0.1952 0.3297 0.2772 P
0.2442 0.6532 0.9881 P
0.3297 0.1952 0.7228 P
0.3468 0.7558 0.5119 P
0.4067 0.1322 0.1827 P
0.5933 0.8678 0.6827 P
0.6532 0.2442 0.0119 P
0.6703 0.8048 0.2228 P
0.7558 0.3468 0.4881 P
0.8048 0.6703 0.7772 P
0.8678 0.5933 0.3173 P
0.0236 0.2313 0.2399 O
0.0278 0.7284 0.2975 O
0.1366 0.4651 0.9448 O
0.1724 0.5559 0.7421 O
0.1842 0.6735 0.1034 O
0.2025 0.7778 0.9075 O
0.2222 0.7975 0.5925 O
0.2295 0.5169 0.2838 O
0.2313 0.0236 0.7601 O
0.2440 0.2622 0.3887 O
0.2622 0.2440 0.6113 O
0.2716 0.9722 0.2025 O
0.2869 0.3218 0.8155 O
0.3218 0.2869 0.1845 O
0.3265 0.8158 0.3966 O
0.3559 0.5729 0.5181 O
0.4271 0.6441 0.9819 O
0.4441 0.8276 0.7579 O
0.4651 0.1366 0.0552 O
0.4831 0.7705 0.2162 O
0.5169 0.2295 0.7162 O
0.5349 0.8634 0.5552 O
0.5559 0.1724 0.2579 O
0.5729 0.3559 0.4819 O
0.6441 0.4271 0.0181 O
0.6735 0.1842 0.8966 O
0.6782 0.7131 0.6845 O
0.7131 0.6782 0.3155 O
0.7284 0.0278 0.7025 O
0.7378 0.7560 0.1113 O
0.7560 0.7378 0.8887 O
0.7687 0.9764 0.2601 O
0.7705 0.4831 0.7838 O
0.7778 0.2025 0.0925 O
0.7975 0.2222 0.4075 O
0.8158 0.3265 0.6034 O
0.8276 0.4441 0.2421 O
0.8634 0.5349 0.4448 O
0.9722 0.2716 0.7975 O
0.9764 0.7687 0.7399 O

La2PmDy2, relaxed, DFT PBE; ΔE_f = 0.12 eV per atom; SG = No. 127; ΔE to the lowest computed polymorph = 0.000 eV per atom
1.0
9.4481 0.0000 0.0000
0.0000 9.4481 0.0000
0.0000 0.0000 3.9045
La Pm Dy
4 2 4
Direct
0.1289 0.3711 0.0000 La
0.3711 0.8711 0.0000 La
0.6289 0.1289 0.0000 La
0.8711 0.6289 0.0000 La
0.0000 0.0000 0.0000 Pm
0.5000 0.5000 0.0000 Pm
0.1708 0.6708 0.5000 Dy
0.3292 0.1708 0.5000 Dy
0.6708 0.8292 0.5000 Dy
0.8292 0.3292 0.5000 Dy

CsLiPm2Br8, relaxed, DFT PBE; SG = No. 2; uncorrected formation energy = -1753 meV per atom
1.0
7.2959 0.0000 0.0000
1.2051 7.2654 0.0000
0.0047 0.0065 9.0376
Cs Li Pm Br
1 1 2 8
Direct
0.0000 0.0000 0.0000 Cs
0.0000 0.0000 0.5000 Li
0.5001 0.5001 0.2617 Pm
0.4999 0.4999 0.7383 Pm
0.2576 0.8404 0.7017 Br
0.2585 0.8409 0.2980 Br
0.2837 0.3694 0.4999 Br
0.2942 0.3872 0.0003 Br
0.7058 0.6128 0.9997 Br
0.7163 0.6306 0.5001 Br
0.7415 0.1591 0.7020 Br
0.7424 0.1596 0.2983 Br

Na2Ac2OsO6, relaxed, DFT PBE; SG = No. 12; uncorrected formation energy = -2016 meV per atom
1.0
3.0934 -5.3985 0.0000
3.0934 5.3985 0.0000
-1.1714 0.0000 5.8272
Na Ac Os O
2 2 1 6
Direct
0.1228 0.8772 0.0000 Na
0.8772 0.1228 0.0000 Na
0.3401 0.6599 0.5000 Ac
0.6599 0.3401 0.5000 Ac
0.0000 0.0000 0.5000 Os
0.0223 0.3141 0.6854 O
0.2350 0.2350 0.2880 O
0.3141 0.0223 0.6854 O
0.6859 0.9777 0.3146 O
0.7650 0.7650 0.7120 O
0.9777 0.6859 0.3146 O

Sequential total DFT energy (no corrections) output: -4.984; -5.391; -5.363; -6.657; -7.260; -4.647; -3.891; -6.728 eV/atom